{"formula": "CaNiF3", "functional": "PBE+U", "state": "optimized geometry", "total_energy_ev_per_cell": -21.4, "polymorph_energy_mev_per_atom": 0, "cell": [[4.1190, 0.0000, 0.0000], [0.0000, 4.1190, 0.0000], [0.0000, 0.0000, 4.1190]], "species": ["Ca", "Ni", "F", "F", "F"], "frac_coords": [[0.0000, 0.0000, 0.0000], [0.5000, 0.5000, 0.5000], [0.0000, 0.5000, 0.5000], [0.5000, 0.0000, 0.5000], [0.5000, 0.5000, 0.0000]]}